PmGe2BiO8 GGA-PBE relaxed; DOS at the Fermi energy = 5.07 states/eV per cell; symmetry = No. 119
1.0
6.015 0.046 0.000
-2.627 5.412 0.000
-1.694 -2.729 5.086
Ge O Pm Bi
2 8 1 1
Direct
0.750 0.250 0.500 Ge
0.500 0.500 0.000 Ge
0.518 0.694 0.824 O
0.934 0.619 0.685 O
0.306 0.482 0.176 O
0.934 0.249 0.315 O
0.381 0.066 0.315 O
0.751 0.066 0.685 O
0.870 0.694 0.176 O
0.306 0.130 0.824 O
0.250 0.750 0.500 Pm
0.000 0.000 0.000 Bi

---

PrGeBi2O8 GGA-PBE relaxed; DOS at the Fermi energy = 3.23 states/eV per cell; symmetry = No. 164
1.0
5.074 0.000 0.000
-2.537 4.394 0.000
0.000 0.000 7.257
O Bi Pr Ge
8 2 1 1
Direct
0.681 0.841 0.177 O
0.159 0.319 0.177 O
0.159 0.841 0.177 O
0.333 0.667 0.537 O
0.319 0.159 0.823 O
0.841 0.681 0.823 O
0.667 0.333 0.463 O
0.841 0.159 0.823 O
0.333 0.667 0.816 Bi
0.667 0.333 0.184 Bi
0.000 0.000 0.500 Pr
0.000 0.000 0.000 Ge

---

PrGe2BiO8 GGA-PBE relaxed; DOS at the Fermi energy = 5.40 states/eV per cell; symmetry = No. 119
1.0
-4.440 -1.147 3.965
0.516 -3.918 -4.597
5.194 -0.320 3.110
O Pr Bi Ge
8 1 1 2
Direct
0.306 0.480 0.174 O
0.306 0.132 0.826 O
0.383 0.069 0.314 O
0.755 0.069 0.686 O
0.931 0.245 0.314 O
0.931 0.617 0.686 O
0.868 0.694 0.174 O
0.520 0.694 0.826 O
0.250 0.750 0.500 Pr
0.000 0.000 0.000 Bi
0.500 0.500 0.000 Ge
0.750 0.250 0.500 Ge

---

Pr2GeBiO6 GGA-PBE relaxed; DOS at the Fermi energy = 2.95 states/eV per cell; symmetry = No. 99
1.0
-0.968 -5.313 0.087
4.332 -0.737 3.241
-3.177 0.651 4.394
Bi O Ge Pr
1 6 1 2
Direct
0.515 0.500 0.500 Bi
0.740 0.772 0.772 O
0.274 0.000 0.000 O
0.740 0.228 0.772 O
0.740 0.228 0.228 O
0.098 0.500 0.500 O
0.740 0.772 0.228 O
0.607 0.000 0.000 Ge
0.997 0.500 0.000 Pr
0.997 0.000 0.500 Pr

---

| no. | formation energy (no corrections) (eV per atom) | ρ (g/cm³) |
| --- | --- | --- |
| 1 | -1.728 | 6.27 |
| 2 | -1.168 | 7.79 |
| 3 | -1.699 | 6.09 |
| 4 | -2.098 | 6.80 |